[1]
The following is a PBE calculation of a relaxed structure of NbSb2PI, from Alexandria via LeMat-Bulk.

* ΔE to the lowest computed polymorph: 0.00 eV/f.u.
* mass density: 5.1 Mg/m³
* formation energy from raw total energies: 4.08 eV/f.u.
* M_tot: 1.912 Bohr magnetons per cell

a = 5.4223 Å, b = 5.4223 Å, c = 5.4580 Å
α = 90.00°, β = 90.00°, γ = 90.00°
Last column: nearest neighbours and their distance in Å.
Space group P4/mmm (No. 123)
Inequivalent atoms, fractional coordinates:
Nb: 0.0000 0.0000 0.0000 x1  4 Sb 2.71, 2 I 2.73
Sb: 0.0000 0.5000 0.0000 x2  2 Nb 2.71
P: 0.5000 0.5000 0.5000 x1  4 I 3.83, 8 Sb 3.85
I: 0.0000 0.0000 0.5000 x1  2 Nb 2.73



[2]
The following is a PBE calculation of a relaxed structure of NbSb2PI, from Alexandria via LeMat-Bulk.

* ΔE to the lowest computed polymorph: 1.06 eV/f.u.
* mass density: 6.0 Mg/m³
* formation energy from raw total energies: 5.14 eV/f.u.
* M_tot: 2.336 Bohr magnetons per cell

a = 5.1452 Å, b = 5.1452 Å, c = 5.2102 Å
α = 90.00°, β = 90.00°, γ = 90.00°
Last column: nearest neighbours and their distance in Å.
Space group P4/mmm (No. 123)
Inequivalent atoms, fractional coordinates:
Nb: 0.0000 0.0000 0.0000 x1  4 I 3.64, 8 Sb 3.66
Sb: 0.0000 0.5000 0.5000 x2  2 P 2.57
P: 0.5000 0.5000 0.5000 x1  4 Sb 2.57, 2 I 2.61
I: 0.5000 0.5000 0.0000 x1  2 P 2.61



[3]
The following is a PBE calculation of a relaxed structure of NbSi2PI, from Alexandria via LeMat-Bulk.

* mass density: 3.6 Mg/m³
* formation energy from raw total energies: 10.25 eV/f.u.
* M_tot: 1.613 Bohr magnetons per cell

a = 5.2142 Å, b = 5.2142 Å, c = 5.1685 Å
α = 90.00°, β = 90.00°, γ = 90.00°
Last column: nearest neighbours and their distance in Å.
Space group P4/mmm (No. 123)
Inequivalent atoms, fractional coordinates:
Nb: 0.0000 0.0000 0.0000 x1  2 I 2.58
Si: 0.0000 0.5000 0.5000 x2  2 I 2.61
P: 0.5000 0.5000 0.0000 x1  8 Si 3.67, 4 Nb 3.69
I: 0.0000 0.0000 0.5000 x1  2 Nb 2.58, 4 Si 2.61



[4]
The following is a PBE calculation of a relaxed structure of NbTePI2, from Alexandria via LeMat-Bulk.

* ΔE to the lowest computed polymorph: 1.56 eV/f.u.
* mass density: 5.5 Mg/m³
* formation energy from raw total energies: 4.59 eV/f.u.
* M_tot: 3.000 Bohr magnetons per cell

a = 5.2753 Å, b = 5.2753 Å, c = 5.4791 Å
α = 90.00°, β = 90.00°, γ = 90.00°
Last column: nearest neighbours and their distance in Å.
Space group P4/mmm (No. 123)
Inequivalent atoms, fractional coordinates:
Nb: 0.0000 0.0000 0.0000 x1  4 Te 3.73, 8 I 3.80
Te: 0.5000 0.5000 0.0000 x1  2 P 2.74
P: 0.5000 0.5000 0.5000 x1  4 I 2.64, 2 Te 2.74
I: 0.0000 0.5000 0.5000 x2  2 P 2.64



[5]
The following is a PBE calculation of a relaxed structure of NbTe2PI, from Alexandria via LeMat-Bulk.

* ΔE to the lowest computed polymorph: 0.00 eV/f.u.
* mass density: 5.0 Mg/m³
* formation energy from raw total energies: 3.14 eV/f.u.
* M_tot: 2.864 Bohr magnetons per cell

a = 5.4120 Å, b = 5.4120 Å, c = 5.7231 Å
α = 90.00°, β = 90.00°, γ = 90.00°
Last column: nearest neighbours and their distance in Å.
Space group P4/mmm (No. 123)
Inequivalent atoms, fractional coordinates:
Nb: 0.0000 0.0000 0.0000 x1  4 Te 2.71, 2 I 2.86
Te: 0.0000 0.5000 0.0000 x2  2 Nb 2.71
P: 0.5000 0.5000 0.5000 x1  4 I 3.83, 8 Te 3.94
I: 0.0000 0.0000 0.5000 x1  2 Nb 2.86



[6]
The following is a PBE calculation of a relaxed structure of NbTePI2, from Alexandria via LeMat-Bulk.

* ΔE to the lowest computed polymorph: 0.00 eV/f.u.
* mass density: 4.8 Mg/m³
* formation energy from raw total energies: 3.03 eV/f.u.
* M_tot: 3.003 Bohr magnetons per cell

a = 5.6611 Å, b = 5.6611 Å, c = 5.4060 Å
α = 90.00°, β = 90.00°, γ = 90.00°
Last column: nearest neighbours and their distance in Å.
Space group P4/mmm (No. 123)
Inequivalent atoms, fractional coordinates:
Nb: 0.0000 0.0000 0.0000 x1  2 Te 2.70, 4 I 2.83
Te: 0.0000 0.0000 0.5000 x1  2 Nb 2.70
P: 0.5000 0.5000 0.5000 x1  8 I 3.91, 4 Te 4.00
I: 0.0000 0.5000 0.0000 x2  2 Nb 2.83



[7]
The following is a PBE calculation of a relaxed structure of NbTe2PI, from Alexandria via LeMat-Bulk.

* ΔE to the lowest computed polymorph: 1.27 eV/f.u.
* mass density: 5.9 Mg/m³
* formation energy from raw total energies: 4.40 eV/f.u.
* M_tot: 2.317 Bohr magnetons per cell

a = 5.2640 Å, b = 5.2640 Å, c = 5.1659 Å
α = 90.00°, β = 90.00°, γ = 90.00°
Last column: nearest neighbours and their distance in Å.
Space group P4/mmm (No. 123)
Inequivalent atoms, fractional coordinates:
Nb: 0.0000 0.0000 0.0000 x1  8 Te 3.69, 4 I 3.72
Te: 0.0000 0.5000 0.5000 x2  2 P 2.63
P: 0.5000 0.5000 0.5000 x1  2 I 2.58, 4 Te 2.63
I: 0.5000 0.5000 0.0000 x1  2 P 2.58



[8]
The following is a PBE calculation of a relaxed structure of TiNbPI2, from Alexandria via LeMat-Bulk.

* mass density: 4.7 Mg/m³
* formation energy from raw total energies: 3.67 eV/f.u.
* M_tot: 0.841 Bohr magnetons per cell

a = 5.6510 Å, b = 5.6510 Å, c = 4.7415 Å
α = 90.00°, β = 90.00°, γ = 90.00°
Last column: nearest neighbours and their distance in Å.
Space group P4/mmm (No. 123)
Inequivalent atoms, fractional coordinates:
Ti: 0.0000 0.0000 0.0000 x1  8 I 3.69, 4 P 4.00
Nb: 0.5000 0.5000 0.5000 x1  2 P 2.37
P: 0.5000 0.5000 0.0000 x1  2 Nb 2.37
I: 0.0000 0.5000 0.5000 x2  2 Nb 2.83